# Li2TlBr3

Li2TlBr3 after structural relaxation (PBE, the Alexandria database).

abc: 6.015 8.018 8.018
angles: 107.73 90.00 90.00
Positions (direct):
Li (0.000, 0.830, 0.830)
Li (0.500, 0.170, 0.170)
Li (0.000, 0.170, 0.170)
Li (0.500, 0.830, 0.830)
Br (0.750, 0.589, 0.842)
Br (0.250, 0.411, 0.158)
Br (0.250, 0.842, 0.589)
Br (0.750, 0.158, 0.411)
Br (0.250, 0.898, 0.102)
Br (0.750, 0.102, 0.898)
Tl (0.250, 0.275, 0.725)
Tl (0.750, 0.725, 0.275)

Volume = 368.3 Å³ per cell
Mass density = 4.13 g/cm³
Formation energy from raw total energies = -1.26 eV/atom
Magnetization = 0.00 μB/cell
SG = No. 63
Energy relative to the lowest polymorph listed for this composition = 0.0272 eV per atom

=====

# RbAg2BiF8

RbAg2BiF8 after structural relaxation (PBE, the Alexandria database).

abc: 6.361 6.361 6.565
angles: 118.98 118.98 90.00
Positions (direct):
F (0.210, 0.413, 0.464)
F (0.784, 0.280, 0.963)
F (0.255, 0.051, 0.464)
F (0.180, 0.683, 0.963)
F (0.949, 0.790, 0.536)
F (0.587, 0.745, 0.536)
F (0.317, 0.216, 0.037)
F (0.720, 0.820, 0.037)
Ag (0.500, 0.500, 0.000)
Ag (0.250, 0.750, 0.500)
Rb (0.750, 0.250, 0.500)
Bi (0.000, 0.000, 0.000)

Volume = 193.5 Å³ per cell
Mass density = 5.68 g/cm³
Formation energy from raw total energies = -1.81 eV/atom
Magnetization = 0.34 μB/cell
SG = No. 82

=====

# Tb7In2Pb2

Tb7In2Pb2 after structural relaxation (PBE, the Alexandria database).

abc: 6.919 7.790 6.919
angles: 90.00 108.11 90.00
Positions (direct):
In (0.825, 0.500, 0.825)
In (0.175, 0.500, 0.175)
Tb (0.000, 0.711, 0.500)
Tb (0.000, 0.289, 0.500)
Tb (0.500, 0.711, 0.000)
Tb (0.000, 0.000, 0.000)
Tb (0.500, 0.726, 0.500)
Tb (0.500, 0.274, 0.500)
Tb (0.500, 0.289, 0.000)
Pb (0.705, 0.000, 0.295)
Pb (0.295, 0.000, 0.705)

Volume = 354.5 Å³ per cell
ΔE_f = -0.13 eV per atom
Mass density = 8.23 g/cm³
Magnetization = 0.00 μB/cell
SG = No. 65

=====

# MnSi2Ag

MnSi2Ag after structural relaxation (PBE, the Alexandria database).

abc: 3.991 3.991 8.727
angles: 76.78 76.78 90.00
Positions (direct):
Mn (0.250, 0.750, 0.500)
Mn (0.500, 0.500, 0.000)
Si (0.375, 0.424, 0.750)
Si (0.576, 0.125, 0.250)
Si (0.875, 0.826, 0.750)
Si (0.174, 0.625, 0.250)
Ag (0.750, 0.250, 0.500)
Ag (0.000, 0.000, 0.000)

Volume = 131.5 Å³ per cell
Mass density = 5.53 g/cm³
Formation energy from raw total energies = 0.29 eV/atom
Magnetization = 5.68 μB/cell
SG = No. 122
Energy relative to the lowest polymorph listed for this composition = 0.3301 eV per atom

=====

# CsBaHSe2

CsBaHSe2 after structural relaxation (PBE, the Alexandria database).

abc: 4.592 8.879 9.872
angles: 116.72 90.00 90.00
Positions (direct):
Se (0.872, 0.596, 0.192)
Se (0.128, 0.096, 0.192)
Se (0.128, 0.404, 0.808)
Se (0.872, 0.904, 0.808)
H (0.000, 0.500, 0.000)
H (0.000, 0.000, 0.000)
Cs (0.644, 0.250, 0.500)
Cs (0.356, 0.750, 0.500)
Ba (0.500, 0.250, 0.000)
Ba (0.500, 0.750, 0.000)

Volume = 359.6 Å³ per cell
Mass density = 3.96 g/cm³
E_tot = -3.7071 eV per atom
Magnetization = 0.00 μB/cell
SG = No. 67

=====

# U3FeC

U3FeC after structural relaxation (PBE, the Alexandria database).

abc: 5.959 8.195 8.137
angles: 124.76 90.00 90.00
Positions (direct):
U (0.934, 0.126, 0.264)
U (0.066, 0.874, 0.736)
U (0.065, 0.248, 0.633)
U (0.435, 0.248, 0.133)
U (0.935, 0.752, 0.367)
U (0.980, 0.654, 0.898)
U (0.566, 0.126, 0.764)
U (0.565, 0.752, 0.867)
U (0.480, 0.346, 0.602)
U (0.520, 0.654, 0.398)
U (0.020, 0.346, 0.102)
U (0.434, 0.874, 0.236)
C (0.269, 0.935, 0.527)
C (0.731, 0.065, 0.473)
C (0.769, 0.065, 0.973)
C (0.231, 0.935, 0.027)
Fe (0.294, 0.510, 0.007)
Fe (0.706, 0.490, 0.993)
Fe (0.206, 0.510, 0.507)
Fe (0.794, 0.490, 0.493)

Volume = 326.5 Å³ per cell
ΔE_f = -0.01 eV per atom
Mass density = 15.91 g/cm³
Magnetization = 0.00 μB/cell
SG = No. 14

=====

# LaH2OsN

LaH2OsN after structural relaxation (PBE, the Alexandria database).

abc: 3.798 5.500 3.798
angles: 90.00 90.00 90.00
Positions (direct):
N (0.500, 0.500, 0.500)
Os (0.000, 0.500, 0.000)
H (0.000, 0.000, 0.500)
H (0.500, 0.000, 0.000)
La (0.000, 0.000, 0.000)

Volume = 79.3 Å³ per cell
Mass density = 7.22 g/cm³
E_tot = -4.4869 eV per atom
Magnetization = 0.63 μB/cell
SG = No. 123

=====

# K2Hg3Pd

K2Hg3Pd after structural relaxation (PBE, the Alexandria database).

abc: 4.812 5.985 12.220
angles: 90.00 90.00 90.00
Positions (direct):
Hg (0.500, 0.500, 0.500)
Hg (0.500, 0.713, 0.925)
Hg (0.000, 0.787, 0.425)
Hg (0.500, 0.287, 0.075)
Hg (0.000, 0.000, 0.000)
Hg (0.000, 0.213, 0.575)
K (0.500, 0.782, 0.214)
K (0.500, 0.218, 0.786)
K (0.000, 0.718, 0.714)
K (0.000, 0.282, 0.286)
Pd (0.000, 0.500, 0.000)
Pd (0.500, 0.000, 0.500)

Volume = 351.9 Å³ per cell
ΔE_f = -0.22 eV per atom
Mass density = 7.42 g/cm³
Magnetization = 0.00 μB/cell
SG = No. 58
Energy relative to the lowest polymorph listed for this composition = 0.0000 eV per atom

=====

> Among the records above, which one has the lowest volume?

LaH2OsN

=====

Copy entry 4 word for word.
# MnSi2Ag

MnSi2Ag after structural relaxation (PBE, the Alexandria database).

abc: 3.991 3.991 8.727
angles: 76.78 76.78 90.00
Positions (direct):
Mn (0.250, 0.750, 0.500)
Mn (0.500, 0.500, 0.000)
Si (0.375, 0.424, 0.750)
Si (0.576, 0.125, 0.250)
Si (0.875, 0.826, 0.750)
Si (0.174, 0.625, 0.250)
Ag (0.750, 0.250, 0.500)
Ag (0.000, 0.000, 0.000)

Volume = 131.5 Å³ per cell
Mass density = 5.53 g/cm³
Formation energy from raw total energies = 0.29 eV/atom
Magnetization = 5.68 μB/cell
SG = No. 122
Energy relative to the lowest polymorph listed for this composition = 0.3301 eV per atom